# 1
## YTm2MgC (PBE-GGA)

Data for YTm2MgC after structural relaxation.

Cell lengths 5.0345, 4.8752, 4.8752 Å; angles 90.00, 90.00, 90.00 degrees
Fractional positions:
C 0.0000 0.0000 0.0000
Tm 0.0000 0.5000 0.0000
Mg 0.5000 0.5000 0.5000
Tm 0.0000 0.0000 0.5000
Y 0.5000 0.0000 0.0000

Calculated values
The calculation puts the electronic total energy at -5.47 eV per atom. The density is 6.4 Mg/m³. As for the total magnetization: 0.46 μB/cell. Its formation energy is -0.221 eV per atom.

=====

# 2
## MgU5C6 (PBE-GGA)

Data for MgU5C6 after structural relaxation.

Cell lengths 6.1680, 5.9766, 5.8435 Å; angles 59.24, 80.47, 71.11 degrees
Fractional positions:
U 0.5000 0.1439 0.7123
C 0.7300 0.4478 0.6468
C 0.2700 0.9054 0.6468
C 0.7877 0.7180 0.0000
Mg 0.0000 0.0000 0.0000
U 0.0000 0.6742 0.6515
C 0.2700 0.5522 0.3532
U 0.0000 0.3258 0.3485
U 0.5000 0.8561 0.2877
U 0.5000 0.5000 0.0000
C 0.7300 0.0946 0.3532
C 0.2123 0.2820 0.0000

Calculated values
The calculation puts the electronic total energy at -9.45 eV per atom. The density is 12.2 Mg/m³. As for the total magnetization: 4.09 μB/cell. Its formation energy is -0.006 eV per atom.

=====

# 3
## MgU4C5 (PBE-GGA)

Data for MgU4C5 after structural relaxation.

Cell lengths 3.5265, 4.8281, 9.0841 Å; angles 105.41, 101.19, 90.00 degrees
Fractional positions:
Mg 0.0000 0.0000 0.0000
U 0.8009 0.8009 0.6018
U 0.1991 0.1991 0.3982
C 0.1951 0.6951 0.3902
C 0.8049 0.3049 0.6098
U 0.5955 0.5955 0.1909
U 0.4045 0.4045 0.8091
C 0.6061 0.1061 0.2121
C 0.3939 0.8939 0.7879
C 0.0000 0.5000 0.0000

Calculated values
The calculation puts the electronic total energy at -9.29 eV per atom. The density is 11.8 Mg/m³. As for the total magnetization: 0.65 μB/cell. Its formation energy is -0.007 eV per atom.

=====

# 4
## Mg14VC (PBE-GGA)

Data for Mg14VC after structural relaxation.

Cell lengths 6.4563, 6.4563, 8.6445 Å; angles 90.00, 90.00, 104.48 degrees
Fractional positions:
Mg 0.3864 0.2216 0.0000
Mg 0.2143 0.4134 0.3172
Mg 0.0728 0.9272 0.2188
Mg 0.5866 0.7857 0.3172
Mg 0.2143 0.4134 0.6828
C 0.3278 0.6722 0.5000
Mg 0.7784 0.6136 0.0000
Mg 0.8502 0.1498 0.0000
V 0.9019 0.0981 0.5000
Mg 0.5866 0.7857 0.6828
Mg 0.6870 0.3130 0.2887
Mg 0.3127 0.6873 0.0000
Mg 0.9711 0.6501 0.5000
Mg 0.0728 0.9272 0.7812
Mg 0.6870 0.3130 0.7113
Mg 0.3499 0.0289 0.5000

Calculated values
The calculation puts the electronic total energy at -2.30 eV per atom. The value obtained for the distance to the lowest polymorph of the same formula is 0.000 eV per atom. The density is 1.9 Mg/m³. As for the total magnetization: 3.40 μB/cell. Its formation energy is 0.240 eV per atom.

=====

> Look up the density of the third one.

11.8 Mg/m³